Below is crystalline Na12Hg3F5 at its relaxed geometry, with properties calculated at the PBE level.

Lattice parameters (Å, degrees): 13.5344 13.5344 13.5344 109.47 109.47 109.47
With the nearest neighbours (Å) after each atom.
Fractional coordinates of all 80 atoms:
Hg (0.7500, 0.3750, 0.1250)  8 Na 3.11-3.25
Hg (0.8750, 0.7500, 0.1250)  8 Na 3.11-3.25
Hg (0.3750, 0.7500, 0.6250)  8 Na 3.11-3.25
Hg (0.2500, 0.1250, 0.3750)  8 Na 3.11-3.25
Hg (0.8750, 0.1250, 0.2500)  8 Na 3.11-3.25
Hg (0.3750, 0.6250, 0.2500)  8 Na 3.11-3.25
Hg (0.6250, 0.3750, 0.7500)  8 Na 3.11-3.25
Hg (0.1250, 0.8750, 0.7500)  8 Na 3.11-3.25
Hg (0.7500, 0.8750, 0.6250)  8 Na 3.11-3.25
Hg (0.6250, 0.2500, 0.3750)  8 Na 3.11-3.25
Hg (0.1250, 0.2500, 0.8750)  8 Na 3.11-3.25
Hg (0.2500, 0.6250, 0.8750)  8 Na 3.11-3.25
F (0.1250, 0.3750, 0.2500)  4 Na 2.24
F (0.0000, 0.5000, 0.0000)  6 Na 2.47
F (0.0000, 0.0000, 0.0000)  6 Na 2.47
F (0.3750, 0.2500, 0.1250)  4 Na 2.24
F (0.5000, 0.0000, 0.5000)  6 Na 2.47
F (0.5000, 0.5000, 0.0000)  6 Na 2.47
F (0.1250, 0.7500, 0.3750)  4 Na 2.24
F (0.7500, 0.1250, 0.8750)  4 Na 2.24
F (0.7500, 0.6250, 0.3750)  4 Na 2.24
F (0.3750, 0.1250, 0.7500)  4 Na 2.24
F (0.6250, 0.8750, 0.2500)  4 Na 2.24
F (0.5000, 0.5000, 0.5000)  6 Na 2.47
F (0.5000, 0.0000, 0.0000)  6 Na 2.47
F (0.0000, 0.0000, 0.5000)  6 Na 2.47
F (0.2500, 0.3750, 0.6250)  4 Na 2.24
F (0.2500, 0.8750, 0.1250)  4 Na 2.24
F (0.0000, 0.5000, 0.5000)  6 Na 2.47
F (0.8750, 0.2500, 0.6250)  4 Na 2.24
F (0.6250, 0.7500, 0.8750)  4 Na 2.24
F (0.8750, 0.6250, 0.7500)  4 Na 2.24
Na (0.6929, 0.1077, 0.0086)  2 F 2.24-2.47
Na (0.3158, 0.5086, 0.4009)  2 F 2.24-2.47
Na (0.9914, 0.3923, 0.3071)  2 F 2.24-2.47
Na (0.5086, 0.1929, 0.1077)  2 F 2.24-2.47
Na (0.5851, 0.6929, 0.6842)  2 F 2.24-2.47
Na (0.9914, 0.5991, 0.1842)  2 F 2.24-2.47
Na (0.3158, 0.8071, 0.4149)  2 F 2.24-2.47
Na (0.0991, 0.9149, 0.1077)  2 F 2.24-2.47
Na (0.5991, 0.9914, 0.6842)  2 F 2.24-2.47
Na (0.6929, 0.5851, 0.1842)  2 F 2.24-2.47
Na (0.8071, 0.4914, 0.3923)  2 F 2.24-2.47
Na (0.8158, 0.9009, 0.0086)  2 F 2.24-2.47
Na (0.1077, 0.6929, 0.5086)  2 F 2.24-2.47
Na (0.3923, 0.4009, 0.0851)  2 F 2.24-2.47
Na (0.0851, 0.9009, 0.3923)  2 F 2.24-2.47
Na (0.4149, 0.1077, 0.5991)  2 F 2.24-2.47
Na (0.0851, 0.1842, 0.1929)  2 F 2.24-2.47
Na (0.4914, 0.6842, 0.0991)  2 F 2.24-2.47
Na (0.8158, 0.9149, 0.3071)  2 F 2.24-2.47
Na (0.1077, 0.4149, 0.0991)  2 F 2.24-2.47
Na (0.3923, 0.9914, 0.8071)  2 F 2.24-2.47
Na (0.5991, 0.6077, 0.4149)  2 F 2.24-2.47
Na (0.9009, 0.8158, 0.5086)  2 F 2.24-2.47
Na (0.8071, 0.3158, 0.9149)  2 F 2.24-2.47
Na (0.4009, 0.3923, 0.5851)  2 F 2.24-2.47
Na (0.0991, 0.1842, 0.4914)  2 F 2.24-2.47
Na (0.1929, 0.6842, 0.0851)  2 F 2.24-2.47
Na (0.1842, 0.0851, 0.6929)  2 F 2.24-2.47
Na (0.6077, 0.0086, 0.1929)  2 F 2.24-2.47
Na (0.8923, 0.5851, 0.9009)  2 F 2.24-2.47
Na (0.5086, 0.3158, 0.9009)  2 F 2.24-2.47
Na (0.5851, 0.8923, 0.4009)  2 F 2.24-2.47
Na (0.9149, 0.8158, 0.8071)  2 F 2.24-2.47
Na (0.9149, 0.0991, 0.6077)  2 F 2.24-2.47
Na (0.8923, 0.3071, 0.4914)  2 F 2.24-2.47
Na (0.1842, 0.0991, 0.9914)  2 F 2.24-2.47
Na (0.6077, 0.5991, 0.9149)  2 F 2.24-2.47
Na (0.4009, 0.0086, 0.3158)  2 F 2.24-2.47
Na (0.3071, 0.4149, 0.8158)  2 F 2.24-2.47
Na (0.1929, 0.5086, 0.6077)  2 F 2.24-2.47
Na (0.9009, 0.0851, 0.8923)  2 F 2.24-2.47
Na (0.6842, 0.1929, 0.5851)  2 F 2.24-2.47
Na (0.4914, 0.8071, 0.8923)  2 F 2.24-2.47
Na (0.0086, 0.4009, 0.8158)  2 F 2.24-2.47
Na (0.4149, 0.3071, 0.3158)  2 F 2.24-2.47
Na (0.0086, 0.6077, 0.6929)  2 F 2.24-2.47
Na (0.6842, 0.4914, 0.5991)  2 F 2.24-2.47
Na (0.3071, 0.8923, 0.9914)  2 F 2.24-2.47

DFT total energy = -2.5880 eV/atom